--- A ---
VASP calculation (GGA-PBE) on a geometry-optimized AcPrAlGa structure.

Its total magnetic moment is 0.000 μB per atom.

It has space group Amm2 (No. 38), with a = 4.319 Å, b = 4.620 Å, c = 11.894 Å, α = 90.00°, β = 90.00° and γ = 90.00°. The asymmetric unit holds Ac at (0.000, 0.000, 0.000), Pr at (0.500, 0.000, 0.717), Al at (0.000, 0.000, 0.287) and Ga at (0.500, 0.000, 0.416).

--- B ---
VASP calculation (GGA-PBE) on a geometry-optimized AcPrAlGa structure.

Its total magnetic moment is 0.000 μB per atom.

It has space group F-43m (No. 216), with a = 7.707 Å, b = 7.707 Å, c = 7.707 Å, α = 90.00°, β = 90.00° and γ = 90.00°. The asymmetric unit holds Ac at (0.000, 0.000, 0.000), Pr at (0.000, 0.000, 0.500), Al at (0.250, 0.250, 0.750) and Ga at (0.250, 0.250, 0.250).

Result of the stability comparison: B is the least stable of them.

--- A ---
VASP calculation (GGA-PBE) on a geometry-optimized Ac2GdAl structure.

Its total magnetic moment is 1.987 μB per atom.

It has space group P4/mmm (No. 123), with a = 5.212 Å, b = 5.212 Å, c = 4.969 Å, α = 90.00°, β = 90.00° and γ = 90.00°. The asymmetric unit holds Ac at (0.000, 0.500, 0.000), Gd at (0.000, 0.000, 0.500) and Al at (0.500, 0.500, 0.500).

--- B ---
VASP calculation (GGA-PBE) on a geometry-optimized Ac2GdAl structure.

Its total magnetic moment is 2.005 μB per atom.

It has space group R-3m (No. 166, hexagonal axes), with a = 3.7614 Å, b = 3.7614 Å, c = 36.6728 Å, α = 90.00°, β = 90.00° and γ = 120.00°. The asymmetric unit holds Ac at (0.0000, 0.0000, 0.0994), Gd at (0.0000, 0.0000, 0.0000) and Al at (0.0000, 0.0000, 0.5000).

--- C ---
VASP calculation (GGA-PBE) on a geometry-optimized Ac2GdAl structure.

Its total magnetic moment is 1.901 μB per atom.

It has space group Fm-3m (No. 225), with a = 8.156 Å, b = 8.156 Å, c = 8.156 Å, α = 90.00°, β = 90.00° and γ = 90.00°. The asymmetric unit holds Ac at (0.250, 0.250, 0.250), Gd at (0.000, 0.000, 0.000) and Al at (0.000, 0.000, 0.500).

Result of the stability comparison: B is the least stable of them.

--- A ---
VASP calculation (GGA-PBE) on a geometry-optimized AcGdAl structure.

Its total magnetic moment is 2.592 μB per atom.

It has space group I4mm (No. 107), with a = 3.848 Å, b = 3.848 Å, c = 12.707 Å, α = 90.00°, β = 90.00° and γ = 90.00°. The asymmetric unit holds Ac at (0.000, 0.000, 0.000), Gd at (0.000, 0.000, 0.712) and Al at (0.000, 0.000, 0.337).

--- B ---
VASP calculation (GGA-PBE) on a geometry-optimized AcGdAl structure.

Its total magnetic moment is 2.455 μB per atom.

It has space group P3m1 (No. 156), with a = 5.2594 Å, b = 5.2594 Å, c = 3.9432 Å, α = 90.00°, β = 90.00° and γ = 120.00°. The asymmetric unit holds Ac at (0.0000, 0.0000, 0.0000), Gd at (0.3333, 0.6667, 0.4529) and Al at (0.6667, 0.3333, 0.5904).

Result of the stability comparison: B is the least stable of them.

--- A ---
VASP calculation (GGA-PBE) on a geometry-optimized AcAl2Ge2 structure.

Its total magnetic moment is 0.000 μB per atom.

It has space group I4/mmm (No. 139), with a = 4.294 Å, b = 4.294 Å, c = 11.970 Å, α = 90.00°, β = 90.00° and γ = 90.00°. The asymmetric unit holds Ac at (0.000, 0.000, 0.000), Al at (0.000, 0.500, 0.250) and Ge at (0.000, 0.000, 0.376).

--- B ---
VASP calculation (GGA-PBE) on a geometry-optimized AcAl2Ge2 structure.

Its total magnetic moment is 0.000 μB per atom.

It has space group R-3m (No. 166, hexagonal axes), with a = 4.2274 Å, b = 4.2274 Å, c = 24.1527 Å, α = 90.00°, β = 90.00° and γ = 120.00°. The asymmetric unit holds Ac at (0.0000, 0.0000, 0.0000), Al at (0.0000, 0.0000, 0.2150) and Ge at (0.0000, 0.0000, 0.4214).

Result of the stability comparison: B is the least stable of them.

--- A ---
VASP calculation (GGA-PBE) on a geometry-optimized AcAlGe structure.

Its total magnetic moment is 0.000 μB per atom.

It has space group P3m1 (No. 156), with a = 4.3757 Å, b = 4.3757 Å, c = 4.6827 Å, α = 90.00°, β = 90.00° and γ = 120.00°. The asymmetric unit holds Ac at (0.0000, 0.0000, 0.0000), Al at (0.3333, 0.6667, 0.4816) and Ge at (0.6667, 0.3333, 0.5165).

--- B ---
VASP calculation (GGA-PBE) on a geometry-optimized AcAlGe structure.

Its total magnetic moment is 0.000 μB per atom.

It has space group Pnma (No. 62), with a = 7.627 Å, b = 4.766 Å, c = 9.128 Å, α = 90.00°, β = 90.00° and γ = 90.00°. The asymmetric unit holds Ac at (0.143, 0.250, 0.163), Al at (0.005, 0.750, 0.423) and Ge at (0.155, 0.250, 0.824).

Result of the stability comparison: B is the least stable of them.

--- A ---
VASP calculation (GGA-PBE) on a geometry-optimized Ac2AlGe3 structure.

Its total magnetic moment is 0.000 μB per atom.

It has space group Pmm2 (No. 25), with a = 4.414 Å, b = 4.537 Å, c = 7.859 Å, α = 90.00°, β = 90.00° and γ = 90.00°. The asymmetric unit holds Ac at (0.000, 0.000, 0.000), Ac at (0.500, 0.000, 0.489), Al at (0.000, 0.500, 0.663), Ge at (0.000, 0.500, 0.339), Ge at (0.500, 0.500, 0.162) and Ge at (0.500, 0.500, 0.821).

--- B ---
VASP calculation (GGA-PBE) on a geometry-optimized Ac2AlGe3 structure.

Its total magnetic moment is 0.000 μB per atom.

It has space group Fmmm (No. 69), with a = 8.979 Å, b = 9.078 Å, c = 15.458 Å, α = 90.00°, β = 90.00° and γ = 90.00°. The asymmetric unit holds Ac at (0.000, 0.244, 0.000), Ac at (0.250, 0.250, 0.250), Al at (0.000, 0.000, 0.334), Ge at (0.000, 0.000, 0.170) and Ge at (0.243, 0.000, 0.415).

Result of the stability comparison: B is the least stable of them.

--- A ---
VASP calculation (GGA-PBE) on a geometry-optimized AcAlGe2 structure.

Its total magnetic moment is 0.000 μB per atom.

It has space group P4/mmm (No. 123), with a = 3.710 Å, b = 3.710 Å, c = 6.746 Å, α = 90.00°, β = 90.00° and γ = 90.00°. The asymmetric unit holds Ac at (0.000, 0.000, 0.000), Al at (0.000, 0.000, 0.500) and Ge at (0.500, 0.500, 0.313).

--- B ---
VASP calculation (GGA-PBE) on a geometry-optimized AcAlGe2 structure.

Its total magnetic moment is 0.000 μB per atom.

It has space group P4/mmm (No. 123), with a = 4.675 Å, b = 4.675 Å, c = 4.426 Å, α = 90.00°, β = 90.00° and γ = 90.00°. The asymmetric unit holds Ac at (0.000, 0.000, 0.000), Al at (0.500, 0.500, 0.000) and Ge at (0.000, 0.500, 0.500).

Result of the stability comparison: A is the least stable of them.

--- A ---
VASP calculation (GGA-PBE) on a geometry-optimized Ac3AlGe2 structure.

Its total magnetic moment is 0.000 μB per atom.

It has space group Pnma (No. 62), with a = 12.683 Å, b = 4.446 Å, c = 13.108 Å, α = 90.00°, β = 90.00° and γ = 90.00°. The asymmetric unit holds Ac at (0.071, 0.250, 0.115), Ac at (0.118, 0.750, 0.555), Ac at (0.193, 0.250, 0.791), Al at (0.134, 0.250, 0.366), Ge at (0.038, 0.750, 0.312) and Ge at (0.193, 0.750, 0.977).

--- B ---
VASP calculation (GGA-PBE) on a geometry-optimized Ac3AlGe2 structure.

Its total magnetic moment is 0.000 μB per atom.

It has space group C2/m (No. 12), with a = 16.805 Å, b = 4.486 Å, c = 11.836 Å, α = 90.00°, β = 115.02° and γ = 90.00°. The asymmetric unit holds Ac at (0.049, 0.000, 0.250), Ac at (0.138, 0.500, 0.004), Ac at (0.227, 0.000, 0.624), Al at (0.078, 0.500, 0.672), Ge at (0.098, 0.500, 0.460) and Ge at (0.151, 0.000, 0.819).

Result of the stability comparison: B is the least stable of them.

--- A ---
VASP calculation (GGA-PBE) on a geometry-optimized Ac2Al2Ge3 structure.

Its total magnetic moment is 0.000 μB per atom.

It has space group C2/m (No. 12), with a = 12.286 Å, b = 4.365 Å, c = 7.621 Å, α = 90.00°, β = 107.40° and γ = 90.00°. The asymmetric unit holds Ac at (0.102, 0.000, 0.291), Al at (0.175, 0.500, 0.912), Ge at (0.000, 0.500, 0.000) and Ge at (0.188, 0.000, 0.730).

--- B ---
VASP calculation (GGA-PBE) on a geometry-optimized Ac2Al2Ge3 structure.

Its total magnetic moment is 0.000 μB per atom.

It has space group C2/m (No. 12), with a = 16.554 Å, b = 4.436 Å, c = 12.289 Å, α = 90.00°, β = 126.48° and γ = 90.00°. The asymmetric unit holds Ac at (0.102, 0.000, 0.445), Ac at (0.234, 0.000, 0.841), Al at (0.048, 0.500, 0.814), Al at (0.088, 0.000, 0.149), Ge at (0.079, 0.500, 0.626), Ge at (0.102, 0.000, 0.950) and Ge at (0.149, 0.500, 0.292).

Result of the stability comparison: A is the least stable of them.

--- A ---
VASP calculation (GGA-PBE) on a geometry-optimized Ac3Al2Ge4 structure.

Its total magnetic moment is 0.000 μB per atom.

It has space group C2/m (No. 12), with a = 12.031 Å, b = 4.393 Å, c = 9.023 Å, α = 90.00°, β = 100.15° and γ = 90.00°. The asymmetric unit holds Ac at (0.000, 0.000, 0.000), Ac at (0.162, 0.500, 0.669), Al at (0.115, 0.500, 0.278), Ge at (0.063, 0.000, 0.387) and Ge at (0.220, 0.500, 0.057).

--- B ---
VASP calculation (GGA-PBE) on a geometry-optimized Ac3Al2Ge4 structure.

Its total magnetic moment is 0.000 μB per atom.

It has space group C2/m (No. 12), with a = 12.100 Å, b = 4.404 Å, c = 9.238 Å, α = 90.00°, β = 110.48° and γ = 90.00°. The asymmetric unit holds Ac at (0.000, 0.000, 0.000), Ac at (0.118, 0.500, 0.691), Al at (0.180, 0.500, 0.329), Ge at (0.106, 0.000, 0.402) and Ge at (0.219, 0.500, 0.061).

Result of the stability comparison: B is the least stable of them.

--- A ---
VASP calculation (GGA-PBE) on a geometry-optimized AcPmAlGe structure.

Its total magnetic moment is 0.035 μB per atom.

It has space group Amm2 (No. 38), with a = 4.206 Å, b = 4.619 Å, c = 11.773 Å, α = 90.00°, β = 90.00° and γ = 90.00°. The asymmetric unit holds Ac at (0.000, 0.000, 0.000), Pm at (0.500, 0.000, 0.719), Al at (0.000, 0.000, 0.283) and Ge at (0.500, 0.000, 0.420).

--- B ---
VASP calculation (GGA-PBE) on a geometry-optimized AcPmAlGe structure.

Its total magnetic moment is 0.000 μB per atom.

It has space group F-43m (No. 216), with a = 7.632 Å, b = 7.632 Å, c = 7.632 Å, α = 90.00°, β = 90.00° and γ = 90.00°. The asymmetric unit holds Ac at (0.000, 0.000, 0.000), Pm at (0.000, 0.000, 0.500), Al at (0.250, 0.250, 0.250) and Ge at (0.250, 0.250, 0.750).

Result of the stability comparison: B is the least stable of them.

--- A ---
VASP calculation (GGA-PBE) on a geometry-optimized AcPrAlGe structure.

Its total magnetic moment is 0.000 μB per atom.

It has space group Amm2 (No. 38), with a = 4.220 Å, b = 4.650 Å, c = 11.855 Å, α = 90.00°, β = 90.00° and γ = 90.00°. The asymmetric unit holds Ac at (0.000, 0.000, 0.000), Pr at (0.500, 0.000, 0.717), Al at (0.000, 0.000, 0.285) and Ge at (0.500, 0.000, 0.421).

--- B ---
VASP calculation (GGA-PBE) on a geometry-optimized AcPrAlGe structure.

Its total magnetic moment is 0.000 μB per atom.

It has space group F-43m (No. 216), with a = 7.685 Å, b = 7.685 Å, c = 7.685 Å, α = 90.00°, β = 90.00° and γ = 90.00°. The asymmetric unit holds Ac at (0.000, 0.000, 0.000), Pr at (0.000, 0.000, 0.500), Al at (0.250, 0.250, 0.750) and Ge at (0.250, 0.250, 0.250).

Result of the stability comparison: B is the least stable of them.

--- A ---
VASP calculation (GGA-PBE) on a geometry-optimized AcTbAlGe structure.

Its total magnetic moment is 0.025 μB per atom.

It has space group Amm2 (No. 38), with a = 4.182 Å, b = 4.574 Å, c = 11.663 Å, α = 90.00°, β = 90.00° and γ = 90.00°. The asymmetric unit holds Ac at (0.000, 0.000, 0.000), Tb at (0.500, 0.000, 0.721), Al at (0.000, 0.000, 0.280) and Ge at (0.500, 0.000, 0.419).

--- B ---
VASP calculation (GGA-PBE) on a geometry-optimized AcTbAlGe structure.

Its total magnetic moment is 0.000 μB per atom.

It has space group F-43m (No. 216), with a = 7.558 Å, b = 7.558 Å, c = 7.558 Å, α = 90.00°, β = 90.00° and γ = 90.00°. The asymmetric unit holds Ac at (0.000, 0.000, 0.000), Tb at (0.000, 0.000, 0.500), Al at (0.250, 0.250, 0.750) and Ge at (0.250, 0.250, 0.250).

Result of the stability comparison: B is the least stable of them.